# Tb2Pm12Nd PBE relaxed
data_Tb2Pm12Nd
_chemical_formula_sum 'Tb8 Pm48 Nd4'
_cell_length_a 7.233
_cell_length_b 11.482
_cell_length_c 24.898
_cell_angle_alpha 90.00
_cell_angle_beta 94.07
_cell_angle_gamma 90.00
_space_group_name_H-M_alt 'C 1 2/m 1'
_space_group_IT_number 12
loop_
_space_group_symop_operation_xyz
'x,y,z'
'-x,-y,-z'
'-x,y,-z'
'x,-y,z'
'x+1/2,y+1/2,z'
'-x+1/2,-y+1/2,-z'
'-x+1/2,y+1/2,-z'
'x+1/2,-y+1/2,z'
loop_
_atom_site_label
_atom_site_type_symbol
_atom_site_fract_x
_atom_site_fract_y
_atom_site_fract_z
Tb1 Tb 0.063 0.000 0.275
Tb2 Tb 0.076 0.500 0.272
Pm1 Pm 0.017 0.250 0.072
Pm2 Pm 0.114 0.238 0.444
Pm3 Pm 0.125 0.500 0.575
Pm4 Pm 0.151 0.000 0.578
Pm5 Pm 0.167 0.258 0.671
Pm6 Pm 0.199 0.240 0.798
Pm7 Pm 0.214 0.500 0.856
Pm8 Pm 0.216 0.000 0.867
Nd1 Nd 0.250 0.000 0.004
# Density of states at the Fermi level = 87.5 states/eV per cell
# Density = 7091 kg/m3
# Energy relative to the elements = 105 meV per atom